Compound: RbDyTeO4
Source: Alexandria via LeMat-Bulk
Functional: PBE-GGA
Structure: optimized geometry

Summary:
size of the total moment = 0.0000 μB/atom
raw total energy = -6.133 eV/atom
E_form (uncorrected) = -2.055 eV per atom

Cell and atoms, written as CIF:
```
data_RbDyTeO4
_cell_length_a 5.9272
_cell_length_b 6.1280
_cell_length_c 8.0141
_cell_angle_alpha 90.00
_cell_angle_beta 106.38
_cell_angle_gamma 90.00
_space_group_name_H-M_alt 'P 1 21/m 1'
_space_group_IT_number 11
_space_group_name_Hall '-P 2yb'
loop_
_atom_site_label
_atom_site_fract_x
_atom_site_fract_y
_atom_site_fract_z
Rb1 0.0954 0.2500 0.1424
Dy1 0.1634 0.7500 0.4625
Te1 0.4113 0.2500 0.7347
O1 0.1649 0.0139 0.6611
O2 0.2269 0.7500 0.2006
O3 0.4371 0.2500 0.5006
```

Compound: Ga5SiPt5
Source: Alexandria via LeMat-Bulk
Functional: PBE-GGA
Structure: optimized geometry

Summary:
size of the total moment = 0.0000 μB/atom
raw total energy = -5.051 eV/atom
E_form (uncorrected) = -0.437 eV per atom

Cell and atoms, written as CIF:
```
data_Ga5SiPt5
_cell_length_a 12.3042
_cell_length_b 4.7611
_cell_length_c 7.5042
_cell_angle_alpha 90.00
_cell_angle_beta 107.84
_cell_angle_gamma 90.00
_space_group_name_H-M_alt 'C 1 2/m 1'
_space_group_IT_number 12
_space_group_name_Hall '-C 2y'
loop_
_atom_site_label
_atom_site_fract_x
_atom_site_fract_y
_atom_site_fract_z
Ga1 0.0000 0.0000 0.0000
Ga2 0.1970 0.5000 0.3658
Ga3 0.2155 0.5000 0.8474
Si1 0.0000 0.0000 0.5000
Pt1 0.0000 0.5000 0.5000
Pt2 0.1283 0.0000 0.3264
Pt3 0.1404 0.0000 0.8039
```

Compound: Dy2Ti3Si4
Source: Alexandria via LeMat-Bulk
Functional: PBE-GGA
Structure: optimized geometry

Summary:
size of the total moment = 0.0003 μB/atom
raw total energy = -6.875 eV/atom
E_form (uncorrected) = -0.810 eV per atom

Cell and atoms, written as CIF:
```
data_Dy2Ti3Si4
_cell_length_a 7.0482
_cell_length_b 7.0482
_cell_length_c 12.9619
_cell_angle_alpha 90.00
_cell_angle_beta 90.00
_cell_angle_gamma 90.00
_space_group_name_H-M_alt 'P 41 21 2'
_space_group_IT_number 92
_space_group_name_Hall 'P 4abw 2nw'
loop_
_atom_site_label
_atom_site_fract_x
_atom_site_fract_y
_atom_site_fract_z
Dy1 0.0027 0.3400 0.0335
Ti1 0.0075 0.1526 0.6233
Ti2 0.1727 0.8273 0.7500
Si1 0.0464 0.7086 0.9350
Si2 0.1307 0.2023 0.8153
```

Compound: PmMg2Zn2Hg2
Source: Alexandria via LeMat-Bulk
Functional: PBE-GGA
Structure: optimized geometry

Summary:
size of the total moment = 0.0000 μB/atom
raw total energy = -1.816 eV/atom

Cell and atoms, written as CIF:
```
data_PmMg2Zn2Hg2
_cell_length_a 4.6679
_cell_length_b 4.6679
_cell_length_c 24.7953
_cell_angle_alpha 90.00
_cell_angle_beta 90.00
_cell_angle_gamma 120.00
_space_group_name_H-M_alt 'R -3 m'
_space_group_IT_number 166
_space_group_name_Hall '-R 3 2"'
loop_
_atom_site_label
_atom_site_fract_x
_atom_site_fract_y
_atom_site_fract_z
Pm1 0.0000 0.0000 0.0000
Mg1 0.0000 0.0000 0.1344
Zn1 0.0000 0.0000 0.2536
Hg1 0.0000 0.0000 0.4081
```